[1]
Below is TlSiHg2 after structural relaxation, with properties calculated at the PBE level.

Lattice parameters (Å, degrees): 4.779 4.779 8.495 90.00 90.00 90.00
Sites, in units of the cell vectors:
Tl: 0.000 0.000 0.000
Tl: 0.500 0.500 0.500
Si: 0.000 0.500 0.250
Si: 0.500 0.000 0.750
Hg: 0.000 0.000 0.500
Hg: 0.000 0.500 0.750
Hg: 0.500 0.000 0.250
Hg: 0.500 0.500 0.000

Computed properties:
The value obtained for the formation energy from raw total energies is 1.6 eV/f.u. For the total energy, the calculation gives -13.608 eV per cell. As for the volume: 24.25 Å³/atom.

***

[2]
Below is Li3Ho3TaSe8 after structural relaxation, with properties calculated at the PBE level.

Lattice parameters (Å, degrees): 7.976 7.976 7.976 59.68 59.68 59.68
Sites, in units of the cell vectors:
Li: 0.000 0.500 0.500
Li: 0.500 0.000 0.500
Li: 0.500 0.500 0.000
Ho: 0.000 0.000 0.500
Ho: 0.000 0.500 0.000
Ho: 0.500 0.000 0.000
Ta: 0.500 0.500 0.500
Se: 0.252 0.252 0.252
Se: 0.264 0.264 0.731
Se: 0.264 0.731 0.264
Se: 0.269 0.736 0.736
Se: 0.731 0.264 0.264
Se: 0.736 0.269 0.736
Se: 0.736 0.736 0.269
Se: 0.748 0.748 0.748

Computed properties:
The value obtained for the formation energy from raw total energies is -21.9 eV/f.u. For the total energy, the calculation gives -81.111 eV per cell. As for the volume: 23.74 Å³/atom.

***

[3]
Below is Pa5Se4S after structural relaxation, with properties calculated at the PBE level.

Lattice parameters (Å, degrees): 6.995 6.995 6.995 99.59 99.59 131.82
Sites, in units of the cell vectors:
Pa: 0.000 0.000 0.000
Pa: 0.215 0.401 0.616
Pa: 0.401 0.785 0.187
Pa: 0.599 0.215 0.813
Pa: 0.785 0.599 0.384
Se: 0.093 0.696 0.789
Se: 0.304 0.093 0.398
Se: 0.696 0.907 0.602
Se: 0.907 0.304 0.211
S: 0.500 0.500 0.000

Computed properties:
The value obtained for the formation energy from raw total energies is -12.7 eV/f.u. For the total energy, the calculation gives -78.289 eV per cell. The relative energy among the computed polymorphs is 0.000 kcal/mol of atoms. As for the volume: 23.29 Å³/atom.